This record from the Alexandria database describes MnAlCd after structural relaxation. The functional is PBE.

Cell: 2.921 2.921 6.934 Å, 90.00 90.00 120.00°
Element x y z (fractional)
Al 0.000 0.000 0.971
Cd 0.333 0.667 0.345
Mn 0.667 0.333 0.684

Output
ΔE_f: 0.172 eV/atom
magnetization: 3.080 μB/cell
space group: No. 156
E: -13.31 eV/f.u.
N(E_F): 0.88 states/eV/atom

***

This record from the Alexandria database describes Sm5DyEr12 after structural relaxation. The functional is PBE.

Cell: 11.218 10.278 5.907 Å, 90.01 90.03 56.92°
Element x y z (fractional)
Er 0.177 0.000 0.554
Er 0.843 0.666 0.549
Er 0.509 0.334 0.549
Er 0.823 0.000 0.446
Er 0.157 0.334 0.451
Er 0.491 0.666 0.451
Er 0.321 0.000 0.054
Er 0.342 0.667 0.951
Er 0.658 0.333 0.049
Er 0.679 0.000 0.946
Er 0.991 0.667 0.049
Er 0.009 0.333 0.951
Sm 0.335 0.331 0.000
Sm 0.665 0.669 0.000
Sm 0.500 0.000 0.500
Sm 0.835 0.330 0.500
Sm 0.165 0.670 0.500
Dy 0.000 0.000 0.000

Output
ΔE_f: 0.110 eV/atom
magnetization: 0.000 μB/cell
space group: No. 12
E: -80.97 eV/f.u.
N(E_F): 1.85 states/eV/atom

***

This record from the Alexandria database describes Na4YU3S8 after structural relaxation. The functional is PBE.

Cell: 7.927 8.163 7.926 Å, 119.07 120.00 90.00°
Element x y z (fractional)
Na 0.000 0.000 0.500
Na 0.000 0.000 0.000
Na 0.500 0.000 0.000
Na 0.500 0.000 0.500
U 0.000 0.500 0.500
U 0.500 0.500 0.500
U 0.500 0.500 0.000
S 0.756 0.269 0.013
S 0.744 0.731 0.488
S 0.244 0.731 0.487
S 0.244 0.731 0.987
S 0.256 0.269 0.013
S 0.256 0.269 0.512
S 0.756 0.269 0.513
S 0.744 0.731 0.987
Y 0.000 0.500 0.000

Output
magnetization: 9.013 μB/cell
E_form (uncorrected): -2256 kJ/mol of formula units
space group: No. 166
E: -102.01 eV/f.u.
N(E_F): 0.83 states/eV/atom